1.
Material: SmDyCuPd
Method: DFT, GGA-PBE
State: optimized geometry

The space group is Amm2 (No. 38) and the conventional cell measures 4.587, 3.786 and 10.517 Å, with angles of 90.00, 90.00 and 90.00 degrees. The inequivalent atoms are Sm at (0.000, 0.000, 0.000), Dy at (0.500, 0.000, 0.723), Cu at (0.000, 0.000, 0.282) and Pd at (0.500, 0.000, 0.436).

---

2.
Material: SrDyCuPd
Method: DFT, GGA-PBE
State: optimized geometry

The space group is F-43m (No. 216) and the conventional cell measures 7.212, 7.212 and 7.212 Å, with angles of 90.00, 90.00 and 90.00 degrees. The inequivalent atoms are Sr at (0.000, 0.000, 0.000), Dy at (0.000, 0.000, 0.500), Cu at (0.250, 0.250, 0.250) and Pd at (0.250, 0.250, 0.750).

---

Number 1: energy of formation -2.25 eV/f.u., D(E_F) 5.59 states/eV/cell. Number 2: energy of formation -1.32 eV/f.u., D(E_F) 11.92 states/eV/cell.